The following is a DFT calculation (GGA-PBE) of a geometry-optimized Nd2Sn3Au5 structure.

Results
E_form: -0.5265 eV per atom

CIF file:
```
data_Nd2Sn3Au5
_cell_length_a 13.1877
_cell_length_b 12.5944
_cell_length_c 6.5341
_cell_angle_alpha 90.00
_cell_angle_beta 118.60
_cell_angle_gamma 90.00
_symmetry_space_group_name_H-M 'C 1 2/c 1'
_symmetry_Int_Tables_number 15
loop_
_symmetry_equiv_pos_as_xyz
'x,y,z'
'-x,-y,-z'
'-x,y,-z+1/2'
'x,-y,z+1/2'
'x+1/2,y+1/2,z'
'-x+1/2,-y+1/2,-z'
'-x+1/2,y+1/2,-z+1/2'
'x+1/2,-y+1/2,z+1/2'
loop_
_atom_site_label
_atom_site_type_symbol
_atom_site_fract_x
_atom_site_fract_y
_atom_site_fract_z
Nd1 Nd 0.2299 0.1297 0.2250
Sn1 Sn 0.0000 0.4993 0.2500
Sn2 Sn 0.1241 0.1338 0.6242
Au1 Au 0.0000 0.0022 0.2500
Au2 Au 0.0000 0.2645 0.2500
Au3 Au 0.0000 0.2675 0.7500
Au4 Au 0.1513 0.3866 0.1472
```

=====

The following is a DFT calculation (GGA-PBE) of a geometry-optimized Nd6SnAu5 structure.

Results
E_form: -0.7418 eV per atom

CIF file:
```
data_Nd6SnAu5
_cell_length_a 5.2584
_cell_length_b 7.5456
_cell_length_c 8.3636
_cell_angle_alpha 90.00
_cell_angle_beta 108.32
_cell_angle_gamma 90.00
_symmetry_space_group_name_H-M 'P 1 2/m 1'
_symmetry_Int_Tables_number 10
loop_
_symmetry_equiv_pos_as_xyz
'x,y,z'
'-x,-y,-z'
'-x,y,-z'
'x,-y,z'
loop_
_atom_site_label
_atom_site_type_symbol
_atom_site_fract_x
_atom_site_fract_y
_atom_site_fract_z
Nd1 Nd 0.0000 0.2403 0.0000
Nd2 Nd 0.3305 0.2481 0.6594
Sn1 Sn 0.5000 0.5000 0.0000
Au1 Au 0.1582 0.5000 0.3197
Au2 Au 0.1655 0.0000 0.3343
Au3 Au 0.5000 0.0000 0.0000
```

=====

The following is a DFT calculation (GGA-PBE) of a geometry-optimized NdSnAu4 structure.

Results
E_form: -0.4095 eV per atom
Excess energy over the best structure of this formula in the dataset: 1.6 meV per atom

CIF file:
```
data_NdSnAu4
_cell_length_a 10.4989
_cell_length_b 7.9674
_cell_length_c 6.7831
_cell_angle_alpha 90.00
_cell_angle_beta 105.80
_cell_angle_gamma 90.00
_symmetry_space_group_name_H-M 'C 1 2/m 1'
_symmetry_Int_Tables_number 12
loop_
_symmetry_equiv_pos_as_xyz
'x,y,z'
'-x,-y,-z'
'-x,y,-z'
'x,-y,z'
'x+1/2,y+1/2,z'
'-x+1/2,-y+1/2,-z'
'-x+1/2,y+1/2,-z'
'x+1/2,-y+1/2,z'
loop_
_atom_site_label
_atom_site_type_symbol
_atom_site_fract_x
_atom_site_fract_y
_atom_site_fract_z
Nd1 Nd 0.1573 0.0000 0.2551
Sn1 Sn 0.1031 0.5000 0.3078
Au1 Au 0.0000 0.2367 0.5000
Au2 Au 0.1209 0.3170 0.9329
Au3 Au 0.1481 0.0000 0.7765
```

=====

The following is a DFT calculation (GGA-PBE) of a geometry-optimized Nd2Sn5Au3 structure.

Results
E_form: -0.5048 eV per atom

CIF file:
```
data_Nd2Sn5Au3
_cell_length_a 4.7543
_cell_length_b 25.5198
_cell_length_c 8.2632
_cell_angle_alpha 90.00
_cell_angle_beta 90.00
_cell_angle_gamma 90.00
_symmetry_space_group_name_H-M 'C m c 21'
_symmetry_Int_Tables_number 36
loop_
_symmetry_equiv_pos_as_xyz
'x,y,z'
'-x,-y,z+1/2'
'-x,y,z'
'x,-y,z+1/2'
'x+1/2,y+1/2,z'
'-x+1/2,-y+1/2,z+1/2'
'-x+1/2,y+1/2,z'
'x+1/2,-y+1/2,z+1/2'
loop_
_atom_site_label
_atom_site_type_symbol
_atom_site_fract_x
_atom_site_fract_y
_atom_site_fract_z
Nd1 Nd 0.0000 0.0238 0.0000
Nd2 Nd 0.0000 0.3255 0.9889
Sn1 Sn 0.0000 0.1053 0.6802
Sn2 Sn 0.0000 0.1886 0.1314
Sn3 Sn 0.0000 0.2301 0.7106
Sn4 Sn 0.0000 0.3816 0.4506
Sn5 Sn 0.0000 0.4503 0.8079
Au1 Au 0.0000 0.1020 0.3285
Au2 Au 0.0000 0.2714 0.3926
Au3 Au 0.0000 0.4535 0.1615
```

=====

- The lowest E_form belongs to which entry?
  Nd6SnAu5

=====

- What is the formula in the third record?
  NdSnAu4